Here is crystalline InAg2W at its relaxed geometry from Alexandria. Energies are from PBE-GGA.

Cell and atoms, written as POSCAR:
```
InAg2W
1.0
-2.733 -0.589 0.438
-0.252 -0.833 -2.693
2.240 -8.573 2.441
Ag W In
2 1 1
Direct
0.000 0.000 0.986
0.000 0.000 0.514
0.500 0.500 0.750
0.500 0.500 0.250
```

Results
M_tot ... 0.0 Bohr magnetons per cell
ΔH_f (0 K) ... 0.47 eV/atom
Total DFT energy (no corrections) ... -4.88 eV/atom
Mass density ... 11.60 g cm⁻³

Here is crystalline InAg2W at its relaxed geometry from Alexandria. Energies are from PBE-GGA.

Cell and atoms, written as POSCAR:
```
InAg2W
1.0
2.868 0.000 0.000
0.000 4.151 0.000
0.000 0.000 6.108
Ag W In
2 1 1
Direct
0.500 0.500 0.238
0.000 0.000 0.998
0.500 0.500 0.754
0.000 0.000 0.509
```

Results
M_tot ... 0.0 Bohr magnetons per cell
ΔH_f (0 K) ... 0.55 eV/atom
Total DFT energy (no corrections) ... -4.79 eV/atom
Mass density ... 11.75 g cm⁻³

Here is crystalline InAg2W at its relaxed geometry from Alexandria. Energies are from PBE-GGA.

Cell and atoms, written as POSCAR:
```
InAg2W
1.0
-0.039 -4.186 -1.288
3.369 0.639 -2.179
2.270 -1.010 3.215
In W Ag
1 1 2
Direct
0.500 0.500 0.000
0.500 0.000 0.500
0.000 0.000 0.000
0.000 0.500 0.500
```

Results
M_tot ... 0.0 Bohr magnetons per cell
ΔH_f (0 K) ... 0.59 eV/atom
Total DFT energy (no corrections) ... -4.75 eV/atom
Mass density ... 11.81 g cm⁻³

Here is crystalline InAg2W at its relaxed geometry from Alexandria. Energies are from PBE-GGA.

Cell and atoms, written as POSCAR:
```
InAg2W
1.0
-2.325 3.097 -0.698
-1.318 -0.155 3.704
5.707 7.787 4.448
Ag In W
4 2 2
Direct
0.375 0.369 0.750
0.875 0.881 0.750
0.631 0.125 0.250
0.119 0.625 0.250
0.250 0.750 0.500
0.500 0.500 0.000
0.000 0.000 0.000
0.750 0.250 0.500
```

Results
M_tot ... 0.6 Bohr magnetons per cell
ΔH_f (0 K) ... 0.90 eV/atom
Total DFT energy (no corrections) ... -4.45 eV/atom
Mass density ... 10.76 g cm⁻³

Here is crystalline InAg2W at its relaxed geometry from Alexandria. Energies are from PBE-GGA.

Cell and atoms, written as POSCAR:
```
InAg2W
1.0
-0.923 1.381 -2.449
-4.136 1.348 2.319
2.245 4.236 1.542
W Ag In
1 2 1
Direct
0.000 0.500 0.500
0.500 0.500 0.000
0.000 0.000 0.000
0.500 0.000 0.500
```

Results
M_tot ... 0.4 Bohr magnetons per cell
ΔH_f (0 K) ... 0.56 eV/atom
Total DFT energy (no corrections) ... -4.79 eV/atom
Mass density ... 11.63 g cm⁻³

Here is crystalline Y2In3Ag2 at its relaxed geometry from Alexandria. Energies are from PBE-GGA.

Cell and atoms, written as POSCAR:
```
Y2In3Ag2
1.0
-3.641 -2.005 1.796
4.814 -0.538 3.451
-3.241 6.570 0.765
In Ag Y
3 2 2
Direct
0.500 0.000 0.000
0.612 0.224 0.442
0.388 0.776 0.558
0.850 0.700 0.784
0.150 0.300 0.216
0.147 0.293 0.785
0.853 0.707 0.215
```

Results
M_tot ... 0.0 Bohr magnetons per cell
ΔH_f (0 K) ... -0.34 eV/atom
Total DFT energy (no corrections) ... -4.17 eV/atom
Mass density ... 7.31 g cm⁻³

Here is crystalline Y2In3Ag4 at its relaxed geometry from Alexandria. Energies are from PBE-GGA.

Cell and atoms, written as POSCAR:
```
Y2In3Ag4
1.0
6.013 0.000 0.000
0.000 8.026 0.000
-3.007 0.000 8.504
Ag In Y
8 6 4
Direct
0.679 0.750 0.858
0.321 0.250 0.142
0.821 0.250 0.142
0.334 0.484 0.669
0.666 0.516 0.331
0.166 0.984 0.331
0.834 0.016 0.669
0.179 0.750 0.858
0.991 0.250 0.482
0.000 0.000 0.000
0.509 0.750 0.518
0.500 0.500 0.000
0.009 0.750 0.518
0.491 0.250 0.482
0.903 0.394 0.805
0.097 0.606 0.195
0.597 0.894 0.195
0.403 0.106 0.805
```

Results
M_tot ... 0.0 Bohr magnetons per cell
ΔH_f (0 K) ... -0.24 eV/atom
Total DFT energy (no corrections) ... -3.86 eV/atom
Mass density ... 7.72 g cm⁻³

Here is crystalline Y4In3Ag at its relaxed geometry from Alexandria. Energies are from PBE-GGA.

Cell and atoms, written as POSCAR:
```
Y4In3Ag
1.0
-1.305 -3.001 -1.469
2.252 -1.955 1.994
-11.147 -0.889 11.721
In Ag Y
3 1 4
Direct
0.500 0.500 0.500
0.500 0.500 0.241
0.500 0.500 0.759
0.500 0.500 0.000
0.000 0.000 0.885
0.000 0.000 0.629
0.000 0.000 0.371
0.000 0.000 0.115
```

Results
M_tot ... 0.0 Bohr magnetons per cell
ΔH_f (0 K) ... -0.46 eV/atom
Total DFT energy (no corrections) ... -5.08 eV/atom
Mass density ... 6.44 g cm⁻³

Question: Which of these has the lowest mass density?
Answer: Y4In3Ag

Question: Which of these has the highest total DFT energy (no corrections)?
Answer: Y2In3Ag4